Entry from the Alexandria database: a relaxed K2AgW crystal (PBE).

```
4
Lattice="-5.413 -11.082 2.640 -5.765 -11.210 -0.408 -3.151 -12.181 0.878" Properties=species:S:1:pos:R:3 pbc="T T T"
Ag -10.896 -26.216 2.365
K -0.193 -0.465 0.042
K -3.399 -8.178 0.738
W -7.004 -16.852 1.520
```

Computed properties:
DFT formation energy: 1.174 eV per atom
offset from the most stable computed form: 152 meV/atom